A plane-wave DFT calculation with PBE was carried out for crystalline CrBOs3 at its relaxed geometry.

Cell lengths 4.4127, 4.4127, 4.4127 Å; angles 90.00, 90.00, 90.00 degrees
Space group Pm-3m (No. 221)
Asymmetric unit:
Cr 0.0000 0.0000 0.0000
B 0.5000 0.5000 0.5000
Os 0.0000 0.0000 0.5000

Calculated values
For the energy of formation, the calculation gives 2.61 eV per atom. The calculation puts the density of states at the Fermi level at 5.77 states/eV per cell. As for the energy relative to the lowest polymorph listed for this composition: 51.49 kcal/mol of atoms.